i | The following is a DFT calculation (GGA-PBE) of an optimized crystal structure of SrCrCd.

```
SrCrCd
1.0
5.0109 0.0000 0.0000
-2.5054 4.3395 0.0000
0.0000 0.0000 4.0354
Sr Cr Cd
1 1 1
Cartesian
0.0000 0.0000 0.0000
0.0000 2.8930 2.0228
2.5054 1.4465 2.0149
```

Properties
Calculated density, g/cm3: 4.769
Magnetization, μB/f.u.: 4.69

ii | The following is a DFT calculation (GGA-PBE) of an optimized crystal structure of SrCrCd.

```
SrCrCd
1.0
0.0000 3.6241 3.6241
3.6241 0.0000 3.6241
3.6241 3.6241 0.0000
Sr Cr Cd
1 1 1
Cartesian
0.0000 0.0000 0.0000
5.4362 5.4362 5.4362
3.6241 3.6241 3.6241
```

Properties
Calculated density, g/cm3: 4.396
Magnetization, μB/f.u.: 4.73

iii | The following is a DFT calculation (GGA-PBE) of an optimized crystal structure of SrCrCd.

```
SrCrCd
1.0
-1.9056 1.9056 5.7158
1.9056 -1.9056 5.7158
1.9056 1.9056 -5.7158
Sr Cr Cd
1 1 1
Cartesian
0.0000 0.0000 0.0000
0.0000 0.0000 7.9934
0.0000 0.0000 3.4221
```

Properties
Calculated density, g/cm3: 5.041
Magnetization, μB/f.u.: 4.44

Going by the energies, i is most stable and the next is 16 meV per atom up.